1:
Entry from Alexandria via LeMat-Bulk: an optimized crystal structure of InGaCu3 (GGA-PBE).

POSCAR file:
```
InGaCu3
1.0
4.558 0.000 0.000
0.000 4.558 0.000
0.000 0.000 4.558
In Ga Cu
1 1 3
direct
0.000 0.000 0.000
0.500 0.500 0.500
0.000 0.500 0.500
0.500 0.000 0.500
0.500 0.500 0.000
```

- DOS(E_F): 0.44 states/eV per atom

---

2:
Entry from Alexandria via LeMat-Bulk: an optimized crystal structure of InGaCu3 (GGA-PBE).

POSCAR file:
```
InGaCu3
1.0
4.890 0.000 0.000
0.000 4.890 0.000
0.000 0.000 4.890
In Ga Cu
1 1 3
direct
0.000 0.000 0.000
0.500 0.500 0.500
0.000 0.000 0.500
0.000 0.500 0.000
0.500 0.000 0.000
```

- DOS(E_F): 0.50 states/eV per atom

---

The structure with the least stability is 2.